# Be2SeCl (PBE, optimized geometry)
data_Be2SeCl
_chemical_formula_sum 'Be2 Se1 Cl1'
_symmetry_space_group_name_H-M 'P 1'
_symmetry_Int_Tables_number 1
_cell_length_a 3.318
_cell_length_b 3.196
_cell_length_c 5.771
_cell_angle_alpha 90.00
_cell_angle_beta 90.06
_cell_angle_gamma 90.00
loop_
_symmetry_equiv_pos_as_xyz
'x,y,z'
loop_
_atom_site_label
_atom_site_type_symbol
_atom_site_fract_x
_atom_site_fract_y
_atom_site_fract_z
Be1 Be 0.002 0.000 0.311
Be2 Be 0.998 0.000 0.689
Se1 Se 0.500 0.500 0.500
Cl1 Cl 0.000 0.500 0.000
# Energy relative to the lowest polymorph listed for this composition ... 149 kJ/mol of formula units
# Magnetic moment ... 0.00 μB per formula unit
# D(E_F) ... 0.23 states/eV/f.u.
# E_form (uncorrected) ... -2.2 kJ/mol of atoms
# SG ... P2/m (10)

***

# ZnAgRu3 (PBE, optimized geometry)
data_ZnAgRu3
_chemical_formula_sum 'Zn1 Ag1 Ru3'
_symmetry_space_group_name_H-M 'P 1'
_symmetry_Int_Tables_number 1
_cell_length_a 4.570
_cell_length_b 4.570
_cell_length_c 4.570
_cell_angle_alpha 90.00
_cell_angle_beta 90.00
_cell_angle_gamma 90.00
loop_
_symmetry_equiv_pos_as_xyz
'x,y,z'
loop_
_atom_site_label
_atom_site_type_symbol
_atom_site_fract_x
_atom_site_fract_y
_atom_site_fract_z
Zn1 Zn 0.000 0.000 0.000
Ag1 Ag 0.500 0.500 0.500
Ru1 Ru 0.000 0.000 0.500
Ru2 Ru 0.000 0.500 0.000
Ru3 Ru 0.500 0.000 0.000
# Energy relative to the lowest polymorph listed for this composition ... 0 kJ/mol of formula units
# DFT formation energy ... 1610.0 meV/atom
# Magnetic moment ... 5.56 μB per formula unit
# D(E_F) ... 4.73 states/eV/f.u.
# SG ... Pm-3m (221)

***

# Zr2GeH (PBE, optimized geometry)
data_Zr2GeH
_chemical_formula_sum 'Zr4 Ge2 H2'
_symmetry_space_group_name_H-M 'P 1'
_symmetry_Int_Tables_number 1
_cell_length_a 3.765
_cell_length_b 3.849
_cell_length_c 9.040
_cell_angle_alpha 90.00
_cell_angle_beta 102.02
_cell_angle_gamma 90.00
loop_
_symmetry_equiv_pos_as_xyz
'x,y,z'
loop_
_atom_site_label
_atom_site_type_symbol
_atom_site_fract_x
_atom_site_fract_y
_atom_site_fract_z
Zr1 Zr 0.089 0.000 0.177
Zr2 Zr 0.297 0.003 0.594
Zr3 Zr 0.703 0.503 0.406
Zr4 Zr 0.911 0.500 0.823
Ge1 Ge 0.451 0.999 0.903
Ge2 Ge 0.549 0.499 0.097
H1 H 0.194 0.742 0.388
H2 H 0.806 0.242 0.612
# Energy relative to the lowest polymorph listed for this composition ... 0 kJ/mol of formula units
# Magnetic moment ... 0.00 μB per formula unit
# D(E_F) ... 2.28 states/eV/f.u.
# SG ... P2_1 (4)

***

# Rh2AuCl (PBE, optimized geometry)
data_Rh2AuCl
_chemical_formula_sum 'Rh2 Au1 Cl1'
_symmetry_space_group_name_H-M 'P 1'
_symmetry_Int_Tables_number 1
_cell_length_a 2.919
_cell_length_b 2.919
_cell_length_c 8.833
_cell_angle_alpha 90.00
_cell_angle_beta 90.00
_cell_angle_gamma 121.62
loop_
_symmetry_equiv_pos_as_xyz
'x,y,z'
loop_
_atom_site_label
_atom_site_type_symbol
_atom_site_fract_x
_atom_site_fract_y
_atom_site_fract_z
Rh1 Rh 0.000 0.000 0.231
Rh2 Rh 0.000 0.000 0.769
Au1 Au 0.500 0.500 0.500
Cl1 Cl 0.500 0.500 0.000
# Energy relative to the lowest polymorph listed for this composition ... 72 kJ/mol of formula units
# Magnetic moment ... 0.00 μB per formula unit
# D(E_F) ... 3.79 states/eV/f.u.
# E_form (uncorrected) ... 36.9 kJ/mol of atoms
# SG ... Cmmm (65)

***

# SrCdAs2O6 (PBE, optimized geometry)
data_SrCdAs2O6
_chemical_formula_sum 'Sr1 Cd1 As2 O6'
_symmetry_space_group_name_H-M 'P 1'
_symmetry_Int_Tables_number 1
_cell_length_a 6.520
_cell_length_b 6.520
_cell_length_c 6.520
_cell_angle_alpha 51.85
_cell_angle_beta 51.85
_cell_angle_gamma 51.85
loop_
_symmetry_equiv_pos_as_xyz
'x,y,z'
loop_
_atom_site_label
_atom_site_type_symbol
_atom_site_fract_x
_atom_site_fract_y
_atom_site_fract_z
Sr1 Sr 0.000 0.000 0.000
Cd1 Cd 0.500 0.500 0.500
As1 As 0.275 0.275 0.275
As2 As 0.725 0.725 0.725
O1 O 0.057 0.739 0.472
O2 O 0.261 0.528 0.943
O3 O 0.472 0.057 0.739
O4 O 0.528 0.943 0.261
O5 O 0.739 0.472 0.057
O6 O 0.943 0.261 0.528
# Magnetic moment ... 0.00 μB per formula unit
# D(E_F) ... 3.85 states/eV/f.u.
# E_form (uncorrected) ... -136.1 kJ/mol of atoms
# SG ... R-3 (148)

***

# Ba2Mg3Sn4Au (PBE, optimized geometry)
data_Ba2Mg3Sn4Au
_chemical_formula_sum 'Ba2 Mg3 Sn4 Au1'
_symmetry_space_group_name_H-M 'P 1'
_symmetry_Int_Tables_number 1
_cell_length_a 4.899
_cell_length_b 4.899
_cell_length_c 12.005
_cell_angle_alpha 90.00
_cell_angle_beta 90.00
_cell_angle_gamma 90.00
loop_
_symmetry_equiv_pos_as_xyz
'x,y,z'
loop_
_atom_site_label
_atom_site_type_symbol
_atom_site_fract_x
_atom_site_fract_y
_atom_site_fract_z
Ba1 Ba 0.000 0.500 0.240
Ba2 Ba 0.500 0.000 0.760
Mg1 Mg 0.000 0.000 0.000
Mg2 Mg 0.000 0.500 0.637
Mg3 Mg 0.500 0.000 0.363
Sn1 Sn 0.000 0.000 0.500
Sn2 Sn 0.000 0.500 0.873
Sn3 Sn 0.500 0.000 0.127
Sn4 Sn 0.500 0.500 0.500
Au1 Au 0.500 0.500 0.000
# DFT formation energy ... -479.6 meV/atom
# Magnetic moment ... 0.00 μB per formula unit
# D(E_F) ... 4.06 states/eV/f.u.
# SG ... P-4m2 (115)

***

> D(E_F) of number 4 (Rh2AuCl)?

3.79 states/eV/f.u.